# PBE In2MoPb, optimized geometry
# DFT formation energy	473	meV per atom
# SG	No. 38
# total magnetization	0.00	μB/atom
# energy	-18.13	eV for the cell shown
data_In2MoPb
_cell_length_a 4.938
_cell_length_b 5.886
_cell_length_c 5.886
_cell_angle_alpha 31.94
_cell_angle_beta 90.00
_cell_angle_gamma 90.00
_symmetry_space_group_name_H-M 'P 1'
_symmetry_Int_Tables_number 1
loop_
_symmetry_equiv_pos_as_xyz
'x,y,z'
loop_
_atom_site_label
_atom_site_fract_x
_atom_site_fract_y
_atom_site_fract_z
In1 0.000 0.000 0.000
In2 0.500 0.402 0.402
Mo1 0.500 0.135 0.135
Pb1 0.000 0.734 0.734